Record 1
An optimized crystal structure of Sc2BiPb2. Source: Alexandria, functional PBE.

Structure (CIF):
```
data_Sc2BiPb2
_chemical_formula_sum 'Sc4 Bi2 Pb4'
_cell_length_a 5.638
_cell_length_b 5.638
_cell_length_c 9.546
_cell_angle_alpha 90.00
_cell_angle_beta 90.00
_cell_angle_gamma 90.00
_space_group_name_H-M_alt 'I 4/m m m'
_space_group_IT_number 139
_space_group_name_Hall '-I 4 2'
loop_
_atom_site_label
_atom_site_fract_x
_atom_site_fract_y
_atom_site_fract_z
Sc1 0.000 0.500 0.250
Bi1 0.000 0.000 0.000
Pb1 0.000 0.000 0.337
```

Values from the calculation:
Energy above the most stable polymorph in this dataset in meV per atom: 358
Energy of formation from the pure elements in eV per atom: 0.029
Final energy in eV per cell: -47.63

=====

Record 2
An optimized crystal structure of Sc4BiPbSe2. Source: Alexandria, functional PBE.

Structure (CIF):
```
data_Sc4BiPbSe2
_chemical_formula_sum 'Sc4 Bi1 Pb1 Se2'
_cell_length_a 6.991
_cell_length_b 4.008
_cell_length_c 7.145
_cell_angle_alpha 90.00
_cell_angle_beta 108.84
_cell_angle_gamma 90.00
_space_group_name_H-M_alt 'P 1 2/m 1'
_space_group_IT_number 10
loop_
_space_group_symop_operation_xyz
'x,y,z'
'-x,-y,-z'
'-x,y,-z'
'x,-y,z'
loop_
_atom_site_label
_atom_site_fract_x
_atom_site_fract_y
_atom_site_fract_z
Sc1 0.239 0.000 0.229
Sc2 0.255 0.500 0.770
Bi1 0.500 0.500 0.500
Pb1 0.000 0.000 0.500
Se1 0.000 0.500 0.000
Se2 0.500 0.000 0.000
```

Values from the calculation:
Formation energy (no corrections) in kJ/mol of formula units: -794
Final energy in eV per cell: -48.12